# 1
Y2TaPt: optimized geometry, PBE-GGA.

Cell: 5.047 5.047 5.047 Å, 60.00 60.00 60.00°
Sites, in units of the cell vectors:
Ta: 0.000 0.000 0.000
Y: 0.250 0.250 0.250
Y: 0.750 0.750 0.750
Pt: 0.500 0.500 0.500

Symmetry ... Fm-3m
Volume ... 90.9 Å³ per cell
Fermi-level density of states ... 3.1 states/eV/cell
Crystal system ... cubic
Distance to the lowest polymorph of the same formula ... 252 meV per atom
Calculated formation energy ... -0.083 eV per atom


# 2
YTaPt2: optimized geometry, PBE-GGA.

Cell: 5.052 5.052 2.931 Å, 90.04 90.04 91.47°
Sites, in units of the cell vectors:
Pt: 0.500 0.500 0.000
Pt: 0.000 0.000 0.000
Y: 0.000 0.500 0.500
Ta: 0.500 0.000 0.500

Symmetry ... Cmmm
Volume ... 74.8 Å³ per cell
Fermi-level density of states ... 3.1 states/eV/cell
Crystal system ... orthorhombic
Calculated formation energy ... -0.683 eV per atom